! LaTlSbI2 (PBE, relaxed); values from VASP
! raw formation energy = -0.584 eV per atom
! energy relative to the lowest polymorph listed for this composition = 0.000 eV/atom
! ρ = 4.860 g/cm³
! symmetry = P4/mmm
! DFT total energy = -3.4877 eV per atom
&SYSTEM
  ibrav = 0, nat = 5, ntyp = 4
/
ATOMIC_SPECIES
I 126.90 I.upf
Sb 121.76 Sb.upf
Tl 204.38 Tl.upf
La 138.91 La.upf
CELL_PARAMETERS angstrom
-4.330 -1.026 -4.425
-0.726 -5.879 2.074
-4.455 1.930 3.912
ATOMIC_POSITIONS crystal
I 0.000 0.500 0.000
I 0.500 0.000 0.000
Sb 0.000 0.000 0.500
Tl 0.500 0.500 0.500
La 0.000 0.000 0.000